{
  "formula": "ReW2O8",
  "functional": "PBE+U",
  "state": "relaxed",
  "cell": [[5.1230, 0.0000, 0.0000], [2.5452, 4.9719, 0.0000], [0.0750, 2.1115, 5.4758]],
  "species": ["Re", "W", "W", "O", "O", "O", "O", "O", "O", "O", "O"],
  "fractional_positions": [[0.0000, 0.0000, 0.0000], [0.2641, 0.5044, 0.6632], [0.7359, 0.4956, 0.3368], [0.0265, 0.2864, 0.6810], [0.0265, 0.7465, 0.8217], [0.4393, 0.7738, 0.0743], [0.4532, 0.7255, 0.5343], [0.5468, 0.2745, 0.4657], [0.5607, 0.2262, 0.9257], [0.9735, 0.2535, 0.1783], [0.9735, 0.7136, 0.3190]],
  "polymorph_energy_ev_per_atom": 0.000,
  "total_magnetization_mub_per_cell": 2.93,
  "spacegroup": "P-1",
  "volume_a3_per_cell": 139.5,
  "final_energy_ev_per_atom": -7.725
}